No. 1
This record from the Alexandria database describes an optimized crystal structure of Pu5MgSn6. The functional is PBE.

Output
Energy relative to the elements: -0.28 eV/atom
Magnetic moment: 5.7 μB/cell
Total DFT energy (no corrections): -8.387 eV/atom

Unit cell a=8.831 b=8.831 c=8.831 alpha=148.54 beta=119.15 gamma=70.11
Atoms (fractional coordinates):
Pu1 0.000 0.000 0.000
Pu2 0.164 0.664 0.500
Pu3 0.340 0.340 0.000
Pu4 0.660 0.660 0.000
Pu5 0.836 0.336 0.500
Mg1 0.500 0.000 0.500
Sn1 0.083 0.832 0.251
Sn2 0.254 0.500 0.754
Sn3 0.419 0.168 0.251
Sn4 0.581 0.832 0.749
Sn5 0.746 0.500 0.246
Sn6 0.917 0.168 0.749

No. 2
This record from the Alexandria database describes an optimized crystal structure of PuMg7Sn4. The functional is PBE.

Output
Energy relative to the elements: 0.07 eV/atom
Magnetic moment: 6.9 μB/cell
Total DFT energy (no corrections): -3.385 eV/atom

Unit cell a=6.985 b=6.985 c=10.570 alpha=121.81 beta=121.81 gamma=48.08
Atoms (fractional coordinates):
Pu1 0.000 0.000 0.000
Mg1 0.076 0.076 0.414
Mg2 0.286 0.286 0.357
Mg3 0.316 0.316 0.101
Mg4 0.500 0.500 0.000
Mg5 0.684 0.684 0.899
Mg6 0.714 0.714 0.643
Mg7 0.924 0.924 0.586
Sn1 0.210 0.210 0.773
Sn2 0.402 0.402 0.683
Sn3 0.598 0.598 0.317
Sn4 0.790 0.790 0.227

Copy entry 1 word for word.
This record from the Alexandria database describes an optimized crystal structure of Pu5MgSn6. The functional is PBE.

Output
Energy relative to the elements: -0.28 eV/atom
Magnetic moment: 5.7 μB/cell
Total DFT energy (no corrections): -8.387 eV/atom

Unit cell a=8.831 b=8.831 c=8.831 alpha=148.54 beta=119.15 gamma=70.11
Atoms (fractional coordinates):
Pu1 0.000 0.000 0.000
Pu2 0.164 0.664 0.500
Pu3 0.340 0.340 0.000
Pu4 0.660 0.660 0.000
Pu5 0.836 0.336 0.500
Mg1 0.500 0.000 0.500
Sn1 0.083 0.832 0.251
Sn2 0.254 0.500 0.754
Sn3 0.419 0.168 0.251
Sn4 0.581 0.832 0.749
Sn5 0.746 0.500 0.246
Sn6 0.917 0.168 0.749